# SrMg2Tl

A geometry-optimized SrMg2Tl structure (PBEsol, the Alexandria database).

The space group is P4/mmm (No. 123) and the conventional cell measures 3.896, 3.896 and 7.574 Å, with angles of 90.00, 90.00 and 90.00 degrees. Symmetry generates all atoms from Sr at (0.000, 0.000, 0.000), Mg at (0.500, 0.500, 0.295) and Tl at (0.000, 0.000, 0.500).

The value obtained for the total magnetization is 0.00 μB/cell. The total energy comes out at -2.07 eV/atom. The crystal system is tetragonal. For the formation energy, the calculation gives -0.098 eV per atom. The energy above the most stable polymorph in this dataset is 9.3 kJ per mole of atoms.

# Sr2MgTl2

A geometry-optimized Sr2MgTl2 structure (PBEsol, the Alexandria database).

The space group is P4/mbm (No. 127) and the conventional cell measures 8.126, 8.126 and 4.920 Å, with angles of 90.00, 90.00 and 90.00 degrees. Symmetry generates all atoms from Sr at (0.168, 0.332, 0.000), Mg at (0.000, 0.000, 0.500) and Tl at (0.137, 0.637, 0.500).

The value obtained for the total magnetization is 0.00 μB/cell. The total energy comes out at -2.44 eV/atom. The crystal system is tetragonal. For the formation energy, the calculation gives -0.311 eV per atom.